No. 1
Below is Cr2FeAu after structural relaxation, with properties calculated at the PBE-GGA level.

```
data_Cr2FeAu
_cell_length_a 2.617
_cell_length_b 2.617
_cell_length_c 7.517
_cell_angle_alpha 90.00
_cell_angle_beta 90.00
_cell_angle_gamma 89.95
_space_group_name_H-M_alt 'P 1'
_space_group_IT_number 1
loop_
_space_group_symop_operation_xyz
'x,y,z'
loop_
_atom_site_label
_atom_site_type_symbol
_atom_site_fract_x
_atom_site_fract_y
_atom_site_fract_z
Cr1 Cr 0.000 0.000 0.465
Au1 Au 0.500 0.500 0.750
Cr2 Cr 0.000 0.000 0.035
Fe1 Fe 0.500 0.500 0.250
```

## Properties
* crystal system: tetragonal
* DOS(E_F): 3.50 states/eV/cell
* E above lowest polymorph: 0.27 eV/f.u.
* space group: P4/mmm (123)
* uncorrected energy: -29.82 eV/cell

No. 2
Below is Cr2FeAu after structural relaxation, with properties calculated at the PBE-GGA level.

```
data_Cr2FeAu
_cell_length_a 3.837
_cell_length_b 3.701
_cell_length_c 3.701
_cell_angle_alpha 90.00
_cell_angle_beta 90.00
_cell_angle_gamma 90.00
_space_group_name_H-M_alt 'P 1'
_space_group_IT_number 1
loop_
_space_group_symop_operation_xyz
'x,y,z'
loop_
_atom_site_label
_atom_site_type_symbol
_atom_site_fract_x
_atom_site_fract_y
_atom_site_fract_z
Cr1 Cr 0.000 0.000 0.000
Cr2 Cr 0.000 0.500 0.500
Fe1 Fe 0.500 0.500 0.000
Au1 Au 0.500 0.000 0.500
```

## Properties
* crystal system: tetragonal
* DOS(E_F): 4.14 states/eV/cell
* E above lowest polymorph: 0.34 eV/f.u.
* space group: P4/mmm (123)
* uncorrected energy: -29.74 eV/cell

No. 3
Below is Cr2FeAu after structural relaxation, with properties calculated at the PBE-GGA level.

```
data_Cr2FeAu
_cell_length_a 3.618
_cell_length_b 3.618
_cell_length_c 9.166
_cell_angle_alpha 78.62
_cell_angle_beta 78.62
_cell_angle_gamma 90.00
_space_group_name_H-M_alt 'P 1'
_space_group_IT_number 1
loop_
_space_group_symop_operation_xyz
'x,y,z'
loop_
_atom_site_label
_atom_site_type_symbol
_atom_site_fract_x
_atom_site_fract_y
_atom_site_fract_z
Fe1 Fe 0.500 0.500 0.000
Fe2 Fe 0.250 0.750 0.500
Cr1 Cr 0.875 0.811 0.750
Cr2 Cr 0.189 0.625 0.250
Au1 Au 0.000 0.000 0.000
Cr3 Cr 0.561 0.125 0.250
Au2 Au 0.750 0.250 0.500
Cr4 Cr 0.375 0.439 0.750
```

## Properties
* crystal system: tetragonal
* DOS(E_F): 8.86 states/eV/cell
* E above lowest polymorph: 2.05 eV/f.u.
* space group: I-42d (122)
* uncorrected energy: -56.07 eV/cell

No. 4
Below is CrFeAu after structural relaxation, with properties calculated at the PBE-GGA level.

```
data_CrFeAu
_cell_length_a 4.178
_cell_length_b 4.178
_cell_length_c 4.178
_cell_angle_alpha 60.00
_cell_angle_beta 60.00
_cell_angle_gamma 60.00
_space_group_name_H-M_alt 'P 1'
_space_group_IT_number 1
loop_
_space_group_symop_operation_xyz
'x,y,z'
loop_
_atom_site_label
_atom_site_type_symbol
_atom_site_fract_x
_atom_site_fract_y
_atom_site_fract_z
Fe1 Fe 0.750 0.750 0.750
Cr1 Cr 0.500 0.500 0.500
Au1 Au 0.000 0.000 0.000
```

## Properties
* crystal system: cubic
* DOS(E_F): 4.16 states/eV/cell
* E above lowest polymorph: 1.08 eV/f.u.
* space group: F-43m (216)
* uncorrected energy: -19.76 eV/cell

No. 5
Below is CrFeAu after structural relaxation, with properties calculated at the PBE-GGA level.

```
data_CrFeAu
_cell_length_a 3.745
_cell_length_b 2.718
_cell_length_c 16.648
_cell_angle_alpha 90.00
_cell_angle_beta 90.00
_cell_angle_gamma 90.00
_space_group_name_H-M_alt 'P 1'
_space_group_IT_number 1
loop_
_space_group_symop_operation_xyz
'x,y,z'
loop_
_atom_site_label
_atom_site_type_symbol
_atom_site_fract_x
_atom_site_fract_y
_atom_site_fract_z
Fe1 Fe 0.000 0.000 0.602
Au1 Au 0.000 0.000 0.447
Cr1 Cr 0.500 0.000 0.684
Cr2 Cr 0.500 0.000 0.049
Fe2 Fe 0.000 0.500 0.102
Au2 Au 0.000 0.500 0.947
Cr3 Cr 0.500 0.500 0.184
Au3 Au 0.500 0.000 0.839
Cr4 Cr 0.500 0.500 0.549
Fe3 Fe 0.000 0.500 0.737
Fe4 Fe 0.000 0.000 0.237
Au4 Au 0.500 0.500 0.339
```

## Properties
* crystal system: orthorhombic
* DOS(E_F): 12.04 states/eV/cell
* E above lowest polymorph: 0.26 eV/f.u.
* space group: Amm2 (38)
* uncorrected energy: -82.32 eV/cell

No. 6
Below is Cr2FeAu after structural relaxation, with properties calculated at the PBE-GGA level.

```
data_Cr2FeAu
_cell_length_a 4.622
_cell_length_b 4.622
_cell_length_c 4.622
_cell_angle_alpha 132.80
_cell_angle_beta 132.82
_cell_angle_gamma 68.95
_space_group_name_H-M_alt 'P 1'
_space_group_IT_number 1
loop_
_space_group_symop_operation_xyz
'x,y,z'
loop_
_atom_site_label
_atom_site_type_symbol
_atom_site_fract_x
_atom_site_fract_y
_atom_site_fract_z
Au1 Au 0.750 0.250 0.500
Cr1 Cr 0.000 0.000 0.000
Cr2 Cr 0.500 0.500 0.000
Fe1 Fe 0.250 0.750 0.500
```

## Properties
* crystal system: tetragonal
* DOS(E_F): 4.07 states/eV/cell
* E above lowest polymorph: 0.42 eV/f.u.
* space group: I4/mmm (139)
* uncorrected energy: -29.67 eV/cell

No. 7
Below is Cr2Fe2Au after structural relaxation, with properties calculated at the PBE-GGA level.

```
data_Cr2Fe2Au
_cell_length_a 6.854
_cell_length_b 6.854
_cell_length_c 2.637
_cell_angle_alpha 90.00
_cell_angle_beta 90.00
_cell_angle_gamma 90.00
_space_group_name_H-M_alt 'P 1'
_space_group_IT_number 1
loop_
_space_group_symop_operation_xyz
'x,y,z'
loop_
_atom_site_label
_atom_site_type_symbol
_atom_site_fract_x
_atom_site_fract_y
_atom_site_fract_z
Au1 Au 0.000 0.000 0.000
Au2 Au 0.500 0.500 0.000
Cr1 Cr 0.661 0.839 0.500
Cr2 Cr 0.161 0.661 0.500
Fe1 Fe 0.129 0.371 0.000
Cr3 Cr 0.339 0.161 0.500
Cr4 Cr 0.839 0.339 0.500
Fe2 Fe 0.871 0.629 0.000
Fe3 Fe 0.371 0.871 0.000
Fe4 Fe 0.629 0.129 0.000
```

## Properties
* crystal system: tetragonal
* DOS(E_F): 9.56 states/eV/cell
* E above lowest polymorph: 0.00 eV/f.u.
* space group: P4/mbm (127)
* uncorrected energy: -76.61 eV/cell

No. 8
Below is Cr2FeAu after structural relaxation, with properties calculated at the PBE-GGA level.

```
data_Cr2FeAu
_cell_length_a 4.289
_cell_length_b 4.289
_cell_length_c 4.289
_cell_angle_alpha 60.00
_cell_angle_beta 60.00
_cell_angle_gamma 60.00
_space_group_name_H-M_alt 'P 1'
_space_group_IT_number 1
loop_
_space_group_symop_operation_xyz
'x,y,z'
loop_
_atom_site_label
_atom_site_type_symbol
_atom_site_fract_x
_atom_site_fract_y
_atom_site_fract_z
Cr1 Cr 0.750 0.750 0.750
Fe1 Fe 0.000 0.000 0.000
Cr2 Cr 0.250 0.250 0.250
Au1 Au 0.500 0.500 0.500
```

## Properties
* crystal system: cubic
* DOS(E_F): 2.72 states/eV/cell
* E above lowest polymorph: 1.05 eV/f.u.
* space group: Fm-3m (225)
* uncorrected energy: -29.04 eV/cell

No. 9
Below is Cr2FeAu after structural relaxation, with properties calculated at the PBE-GGA level.

```
data_Cr2FeAu
_cell_length_a 4.329
_cell_length_b 4.329
_cell_length_c 4.329
_cell_angle_alpha 60.00
_cell_angle_beta 60.00
_cell_angle_gamma 60.00
_space_group_name_H-M_alt 'P 1'
_space_group_IT_number 1
loop_
_space_group_symop_operation_xyz
'x,y,z'
loop_
_atom_site_label
_atom_site_type_symbol
_atom_site_fract_x
_atom_site_fract_y
_atom_site_fract_z
Fe1 Fe 0.750 0.750 0.750
Cr1 Cr 0.250 0.250 0.250
Au1 Au 0.500 0.500 0.500
Cr2 Cr 0.000 0.000 0.000
```

## Properties
* crystal system: cubic
* DOS(E_F): 4.74 states/eV/cell
* E above lowest polymorph: 0.47 eV/f.u.
* space group: F-43m (216)
* uncorrected energy: -29.62 eV/cell

No. 10
Below is CrFeAu after structural relaxation, with properties calculated at the PBE-GGA level.

```
data_CrFeAu
_cell_length_a 5.763
_cell_length_b 5.763
_cell_length_c 2.805
_cell_angle_alpha 75.91
_cell_angle_beta 75.91
_cell_angle_gamma 28.17
_space_group_name_H-M_alt 'P 1'
_space_group_IT_number 1
loop_
_space_group_symop_operation_xyz
'x,y,z'
loop_
_atom_site_label
_atom_site_type_symbol
_atom_site_fract_x
_atom_site_fract_y
_atom_site_fract_z
Au1 Au 0.001 0.001 0.999
Cr1 Cr 0.314 0.314 0.686
Fe1 Fe 0.685 0.685 0.315
```

## Properties
* crystal system: tetragonal
* DOS(E_F): 2.86 states/eV/cell
* E above lowest polymorph: 0.18 eV/f.u.
* space group: I4mm (107)
* uncorrected energy: -20.66 eV/cell

No. 11
Below is CrFe2Au2 after structural relaxation, with properties calculated at the PBE-GGA level.

```
data_CrFe2Au2
_cell_length_a 4.841
_cell_length_b 4.841
_cell_length_c 4.006
_cell_angle_alpha 90.00
_cell_angle_beta 90.00
_cell_angle_gamma 90.00
_space_group_name_H-M_alt 'P 1'
_space_group_IT_number 1
loop_
_space_group_symop_operation_xyz
'x,y,z'
loop_
_atom_site_label
_atom_site_type_symbol
_atom_site_fract_x
_atom_site_fract_y
_atom_site_fract_z
Fe1 Fe 0.000 0.000 0.500
Au1 Au 0.500 0.000 0.000
Fe2 Fe 0.500 0.500 0.500
Au2 Au 0.000 0.500 0.000
Cr1 Cr 0.000 0.000 0.000
```

## Properties
* crystal system: tetragonal
* DOS(E_F): 7.40 states/eV/cell
* space group: P4/mmm (123)
* uncorrected energy: -26.55 eV/cell

No. 12
Below is Cr2Fe2Au after structural relaxation, with properties calculated at the PBE-GGA level.

```
data_Cr2Fe2Au
_cell_length_a 6.928
_cell_length_b 6.928
_cell_length_c 2.610
_cell_angle_alpha 90.00
_cell_angle_beta 90.00
_cell_angle_gamma 90.00
_space_group_name_H-M_alt 'P 1'
_space_group_IT_number 1
loop_
_space_group_symop_operation_xyz
'x,y,z'
loop_
_atom_site_label
_atom_site_type_symbol
_atom_site_fract_x
_atom_site_fract_y
_atom_site_fract_z
Cr1 Cr 0.881 0.619 0.000
Fe1 Fe 0.169 0.669 0.500
Fe2 Fe 0.831 0.331 0.500
Fe3 Fe 0.331 0.169 0.500
Cr2 Cr 0.119 0.381 0.000
Cr3 Cr 0.381 0.881 0.000
Au1 Au 0.500 0.500 0.000
Cr4 Cr 0.619 0.119 0.000
Au2 Au 0.000 0.000 0.000
Fe4 Fe 0.669 0.831 0.500
```

## Properties
* crystal system: tetragonal
* DOS(E_F): 11.25 states/eV/cell
* E above lowest polymorph: 0.44 eV/f.u.
* space group: P4/mbm (127)
* uncorrected energy: -75.73 eV/cell

In order of appearance, calculated formation energy = 1.2; 1.2; 3.0; 1.6; 0.8; 1.3; 1.1; 2.0; 1.4; 0.7; 6.6; 1.6 eV per formula unit.